1.
Here is crystalline BaSi2Cl at its relaxed geometry from Alexandria via LeMat-Bulk. Energies are from PBE.

Values from the calculation:
Space group = No. 65
Density = 2.981 Mg/m³
Offset from the most stable computed form = 0.779 eV per atom
M_tot = 0.0 μB per cell

Geometry as POSCAR:
```
BaSi2Cl
1.0
2.7500 -3.7332 0.0000
2.7500 3.7332 0.0000
0.0000 0.0000 6.2115
Ba Si Cl
1 2 1
Cartesian
0.0000 0.0000 0.0000 Ba
2.7500 0.0000 2.0003 Si
2.7500 0.0000 4.2112 Si
0.0000 0.0000 3.1057 Cl
```

2.
Here is crystalline Mn2HPt at its relaxed geometry from Alexandria via LeMat-Bulk. Energies are from PBE.

Values from the calculation:
Space group = No. 122
Density = 10.374 Mg/m³
Offset from the most stable computed form = 0.104 eV per atom
M_tot = 15.5 μB per cell

Geometry as POSCAR:
```
Mn2HPt
1.0
-2.9151 2.9151 2.8817
2.9151 -2.9151 2.8817
2.9151 2.9151 -2.8817
Mn H Pt
4 2 2
Cartesian
4.3726 0.8445 -0.7204 Mn
0.8445 1.4575 0.7204 Mn
-1.4575 2.0706 2.1613 Mn
2.0706 1.4575 3.6022 Mn
0.0000 0.0000 0.0000 H
0.0000 2.9151 1.4409 H
2.9151 0.0000 1.4409 Pt
0.0000 0.0000 2.8817 Pt
```

3.
Here is crystalline CsMn2BeNi at its relaxed geometry from Alexandria via LeMat-Bulk. Energies are from PBE.

Values from the calculation:
Space group = No. 123
Formation enthalpy at 0 K = 2.75 eV per atom
Density = 4.171 Mg/m³
Offset from the most stable computed form = 1.870 eV per atom
M_tot = 8.3 μB per cell

Geometry as POSCAR:
```
CsMn2BeNi
1.0
5.0957 0.0000 0.0000
0.0000 5.0957 0.0000
0.0000 0.0000 4.7600
Cs Mn Be Ni
1 2 1 1
Cartesian
0.0000 0.0000 0.0000 Cs
0.0000 2.5478 0.0000 Mn
2.5478 0.0000 0.0000 Mn
0.0000 0.0000 2.3800 Be
2.5478 2.5478 2.3800 Ni
```

4.
Here is crystalline La2PmHg2 at its relaxed geometry from Alexandria via LeMat-Bulk. Energies are from PBE.

Values from the calculation:
Space group = No. 71
Formation enthalpy at 0 K = -0.31 eV per atom
Density = 8.477 Mg/m³
Offset from the most stable computed form = 0.072 eV per atom
M_tot = 0.0 μB per cell

Geometry as POSCAR:
```
La2PmHg2
1.0
-2.0415 3.8212 5.1730
2.0415 -3.8212 5.1730
2.0415 3.8212 -5.1730
La Pm Hg
2 1 2
Cartesian
0.0000 0.0000 2.1522 La
0.0000 0.0000 8.1937 La
0.0000 3.8212 0.0000 Pm
2.0415 1.5292 0.0000 Hg
0.0000 2.2920 5.1730 Hg
```

Question: Look up the M_tot of the second one.
Answer: 15.5 μB per cell

Question: What is the offset from the most stable computed form in the third record?
Answer: 1.870 eV per atom